Record 1
Material: TaTl2I
Method: DFT, PBE
State: optimized geometry

Volume ... 28.16 A^3/atom
Magnetization ... 0.01 μB per atom
Energy above the most stable polymorph in this dataset ... 142 meV per atom
E ... -3.4263 eV/atom
Calculated density ... 10.57 g cm⁻³
ΔE_f (raw) ... 1108 meV per atom

Unit cell a=7.666 b=7.666 c=7.666 alpha=90.00 beta=90.00 gamma=90.00
Space group Fm-3m (No. 225)
Symmetry-distinct sites (fractional):
Ta1 0.000 0.000 0.000 x4
Tl1 0.250 0.250 0.250 x8
I1 0.000 0.000 0.500 x4

=====

Record 2
Material: TbSc2TaO8
Method: DFT, PBE
State: optimized geometry

Volume ... 13.26 A^3/atom
Magnetization ... 0.16 μB per atom
E ... -8.6142 eV/atom
Calculated density ... 5.82 g cm⁻³
ΔE_f (raw) ... -2880 meV per atom

Unit cell a=6.895 b=6.913 c=6.676 alpha=90.00 beta=90.00 gamma=90.00
Space group Cmmm (No. 65)
Symmetry-distinct sites (fractional):
Tb1 0.000 0.000 0.000 x2
Sc1 0.000 0.500 0.255 x4
Ta1 0.000 0.000 0.500 x2
O1 0.000 0.292 0.500 x4
O2 0.000 0.322 0.000 x4
O3 0.196 0.000 0.280 x8

=====

Record 3
Material: Cs2SiSb2
Method: DFT, PBE
State: optimized geometry

Volume ... 37.07 A^3/atom
Magnetization ... 0.00 μB per atom
E ... -3.0984 eV/atom
Calculated density ... 4.81 g cm⁻³
ΔE_f (raw) ... -23 meV per atom

Unit cell a=7.637 b=7.637 c=6.356 alpha=90.00 beta=90.00 gamma=90.00
Space group P4/mbm (No. 127)
Symmetry-distinct sites (fractional):
Cs1 0.177 0.323 0.000 x4
Si1 0.000 0.000 0.500 x2
Sb1 0.136 0.636 0.500 x4

=====

Record 4
Material: CsTl2Cd2
Method: DFT, PBE
State: optimized geometry

Volume ... 33.33 A^3/atom
Magnetization ... 0.00 μB per atom
Energy above the most stable polymorph in this dataset ... 65 meV per atom
E ... -1.4780 eV/atom
ΔH_f (0 K) ... 0.005 eV per atom
Calculated density ... 7.64 g cm⁻³

Unit cell a=9.780 b=9.780 c=3.485 alpha=90.00 beta=90.00 gamma=90.00
Space group P4/mbm (No. 127)
Symmetry-distinct sites (fractional):
Cs1 0.000 0.000 0.000 x2
Tl1 0.155 0.345 0.500 x4
Cd1 0.130 0.630 0.000 x4

=====

Record 5
Material: Sm2DyThSc
Method: DFT, PBE
State: optimized geometry

Volume ... 32.07 A^3/atom
Magnetization ... 0.00 μB per atom
E ... -5.2958 eV/atom
ΔH_f (0 K) ... 0.263 eV per atom
Calculated density ... 7.66 g cm⁻³

Unit cell a=6.258 b=8.056 c=6.362 alpha=90.00 beta=90.00 gamma=90.00
Space group Pmma (No. 51)
Symmetry-distinct sites (fractional):
Sm1 0.250 0.197 0.195 x4
Dy1 0.250 0.000 0.675 x2
Th1 0.250 0.500 0.570 x2
Sc1 0.000 0.500 0.000 x2

=====

Record 6
Material: NaCeTl2Br6
Method: DFT, PBE
State: optimized geometry

Volume ... 35.99 A^3/atom
Magnetization ... 0.10 μB per atom
E ... -3.5959 eV/atom
Calculated density ... 4.85 g cm⁻³
ΔE_f (raw) ... -1394 meV per atom

Unit cell a=7.765 b=8.258 c=13.522 alpha=90.00 beta=123.89 gamma=90.00
Space group P2_1/c (No. 14)
Symmetry-distinct sites (fractional):
Na1 0.000 0.000 0.000 x2
Ce1 0.500 0.000 0.500 x2
Tl1 0.215 0.080 0.745 x4
Br1 0.141 0.192 0.446 x4
Br2 0.254 0.704 0.441 x4
Br3 0.369 0.033 0.252 x4

=====

Record 7
Material: Cs2CdPtI
Method: DFT, PBE
State: optimized geometry

Volume ... 46.69 A^3/atom
Magnetization ... 0.00 μB per atom
E ... -2.6183 eV/atom
Calculated density ... 4.98 g cm⁻³
ΔE_f (raw) ... -576 meV per atom

Unit cell a=6.677 b=6.677 c=5.235 alpha=90.00 beta=90.00 gamma=90.00
Space group P4/mmm (No. 123)
Symmetry-distinct sites (fractional):
Cs1 0.000 0.500 0.000 x2
Cd1 0.000 0.000 0.500 x1
Pt1 0.000 0.000 0.000 x1
I1 0.500 0.500 0.500 x1

=====

Record 8
Material: ReBiN2O
Method: DFT, PBE
State: optimized geometry

Volume ... 15.16 A^3/atom
Magnetization ... 0.75 μB per atom
E ... -5.6286 eV/atom
Calculated density ... 9.62 g cm⁻³
ΔE_f (raw) ... 1959 meV per atom

Unit cell a=4.306 b=4.306 c=4.088 alpha=90.00 beta=90.00 gamma=90.00
Space group P4/mmm (No. 123)
Symmetry-distinct sites (fractional):
Re1 0.000 0.000 0.000 x1
Bi1 0.500 0.500 0.500 x1
N1 0.000 0.500 0.500 x2
O1 0.500 0.500 0.000 x1